PBE-GGA CsZrAsO, relaxed; crystal system = orthorhombic; total magnetization = 0.0 μB per cell; energy above the lowest structure with this stoichiometry = 0.000 eV/atom; calculated density = 4134 kg/m³
1.0
-0.311 0.291 4.119
-8.266 -3.611 -0.369
2.674 -6.187 0.638
As Cs O Zr
2 2 2 2
Direct
0.000 0.264 0.451 As
0.000 0.736 0.951 As
0.000 0.669 0.456 Cs
0.000 0.331 0.956 Cs
0.500 0.932 0.323 O
0.500 0.068 0.823 O
0.500 0.902 0.024 Zr
0.500 0.098 0.524 Zr